Below is a relaxed structure of Nd7Sm4Tm, with properties calculated at the PBE level.

Summary:
Spin magnetization in Bohr magnetons per cell: 0.4
Space group: C2/m, No. 12
Total energy in eV/atom: -4.51
ΔE to the lowest computed polymorph in meV per atom: 204.2
E_form in eV/atom: 0.216

Cell: 6.064 9.872 8.738 Å, 60.38 69.70 72.11°
Element x y z (fractional)
Nd 0.792 0.876 0.540
Nd 0.208 0.124 0.460
Nd 0.081 0.564 0.274
Nd 0.919 0.436 0.726
Nd 0.207 0.776 0.809
Nd 0.500 0.000 0.000
Nd 0.793 0.224 0.191
Sm 0.573 0.301 0.552
Sm 0.427 0.699 0.448
Sm 0.674 0.610 0.043
Sm 0.326 0.390 0.957
Tm 0.000 0.000 0.000